MnAlCuRh2, relaxed, DFT GGA-PBE; formation enthalpy at 0 K = 5.295 eV/f.u.; symmetry = P4/mmm; DOS at the Fermi energy = 8.0 states/eV/f.u.; spin magnetization = 0.04 μB/atom
1.0
4.405 0.000 0.000
0.000 4.351 0.000
0.000 0.000 4.405
Mn Rh Al Cu
1 2 1 1
direct
0.000 0.500 0.000
0.500 0.000 0.000
0.000 0.000 0.500
0.000 0.000 0.000
0.500 0.500 0.500



Sc2Mn2Al5Cu, relaxed, DFT GGA-PBE; formation enthalpy at 0 K = -2.184 eV/f.u.; symmetry = P4/mbm; DOS at the Fermi energy = 6.7 states/eV/f.u.; spin magnetization = 0.49 μB/atom
1.0
-0.798 3.151 -2.373
-7.572 1.594 4.664
4.592 5.389 5.613
Al Sc Mn Cu
10 4 4 2
direct
0.500 0.436 0.294
0.500 0.206 0.064
0.500 0.294 0.564
0.500 0.500 0.000
0.500 0.064 0.794
0.500 0.706 0.436
0.500 0.794 0.936
0.500 0.564 0.706
0.500 0.000 0.500
0.500 0.936 0.206
0.000 0.181 0.319
0.000 0.819 0.681
0.000 0.681 0.181
0.000 0.319 0.819
0.000 0.887 0.387
0.000 0.613 0.887
0.000 0.113 0.613
0.000 0.387 0.113
0.000 0.000 0.000
0.000 0.500 0.500